VASP calculation (PBE) on a relaxed EuBi2 crystal.

Structure (POSCAR):
```
EuBi2
1.0
17.3642 -0.0044 0.0000
16.0611 6.5997 0.0000
-16.7126 -3.2976 3.3657
Bi Eu
8 4
Direct
0.9077 0.9077 0.0000 Bi
0.0923 0.0923 0.0000 Bi
0.2482 0.2482 0.0000 Bi
0.7518 0.7518 0.0000 Bi
0.6577 0.1577 0.5000 Bi
0.8423 0.3423 0.5000 Bi
0.5018 0.0018 0.5000 Bi
0.9982 0.4982 0.5000 Bi
0.5738 0.5738 0.0000 Eu
0.1762 0.6762 0.5000 Eu
0.4262 0.4262 0.0000 Eu
0.3238 0.8238 0.5000 Eu
```

Formation enthalpy at 0 K in eV/atom: -0.6151